(1)
A PBEsol-optimized structure of ScMoPOs2, computed with SCAN.

The structure in extended XYZ format:
```
5
Lattice="4.467 0.000 0.000 0.000 4.557 0.000 0.000 0.000 4.557" Properties=species:S:1:pos:R:3 pbc="T T T"
Sc 0.000 0.000 0.000
P 2.233 0.000 0.000
Mo 2.233 2.279 2.279
Os 0.000 0.000 2.279
Os 0.000 2.279 0.000
```

Calculated total energy (hartree per atom): -1.41505
ΔH_f (0 K) (eV/atom): 2.151



(2)
A PBEsol-optimized structure of K4AlPb, computed with SCAN.

The structure in extended XYZ format:
```
6
Lattice="6.928 0.000 0.000 3.464 6.000 0.000 3.464 2.000 5.657" Properties=species:S:1:pos:R:3 pbc="T T T"
Al 0.000 0.000 0.000
K 5.200 3.002 2.123
K 6.928 4.000 4.945
K 8.656 3.002 2.123
K 6.928 5.995 2.123
Pb 10.392 6.000 4.242
```

Calculated total energy (hartree per atom): -0.70210
ΔH_f (0 K) (eV/atom): 0.369



(3)
A PBEsol-optimized structure of TcAs2PdBr, computed with SCAN.

The structure in extended XYZ format:
```
5
Lattice="4.621 0.000 0.000 0.000 4.621 0.000 0.000 0.000 5.273" Properties=species:S:1:pos:R:3 pbc="T T T"
As 0.000 2.311 0.000
As 2.311 0.000 0.000
Br 0.000 0.000 2.637
Tc 0.000 0.000 0.000
Pd 2.311 2.311 2.637
```

Calculated total energy (hartree per atom): -0.91590
Formation energy without anion corrections (eV/atom): 0.6122



(4)
A PBEsol-optimized structure of K6Fe24S26Cl, computed with SCAN.

The structure in extended XYZ format:
```
57
Lattice="9.612 0.000 0.000 0.000 9.612 0.000 -4.806 -4.806 9.596" Properties=species:S:1:pos:R:3 pbc="T T T"
K 6.719 0.000 0.000
K 4.806 4.806 6.679
K 0.000 6.719 0.000
K 2.893 0.000 0.000
K 0.000 0.000 2.917
K 0.000 2.893 0.000
Fe -1.292 1.292 8.279
Fe 6.105 -1.309 6.099
Fe 1.309 6.105 6.099
Fe 6.098 3.514 1.317
Fe 3.506 1.309 6.099
Fe 6.115 1.300 3.497
Fe -1.300 3.497 3.497
Fe 3.497 1.300 3.497
Fe 1.309 3.506 6.099
Fe 3.506 -1.309 6.099
Fe 6.105 1.309 6.099
Fe 1.300 6.115 3.497
Fe -1.309 6.105 6.099
Fe 1.292 1.292 8.279
Fe -1.309 3.506 6.099
Fe 3.514 3.514 1.317
Fe 1.292 -1.292 8.279
Fe -1.292 -1.292 8.279
Fe 3.514 6.098 1.317
Fe -1.300 6.115 3.497
Fe 1.300 3.497 3.497
Fe 6.098 6.098 1.317
Fe 6.115 -1.300 3.497
Fe 3.497 -1.300 3.497
S 2.425 4.806 4.786
S 0.000 4.806 7.227
S 7.476 7.476 2.116
S -2.381 0.000 4.810
S 2.670 2.670 7.480
S 7.187 4.806 4.786
S 0.000 -2.381 4.810
S 4.806 7.187 4.786
S 2.381 0.000 4.810
S 2.136 7.476 2.116
S 4.806 0.000 2.370
S 4.806 4.806 2.459
S 0.000 4.806 2.370
S 4.806 0.000 7.227
S 2.136 2.136 2.116
S 4.806 2.392 0.000
S 7.220 4.806 0.000
S 0.000 0.000 7.137
S -2.670 2.670 7.480
S 7.476 2.136 2.116
S 0.000 2.381 4.810
S 4.806 2.425 4.786
S 2.392 4.806 0.000
S -2.670 -2.670 7.480
S 4.806 7.220 0.000
S 2.670 -2.670 7.480
Cl 0.000 0.000 0.000
```

Calculated total energy (hartree per atom): -0.49697
Formation energy without anion corrections (eV/atom): -0.4812



(5)
A PBEsol-optimized structure of Ca2MoPt, computed with SCAN.

The structure in extended XYZ format:
```
4
Lattice="4.838 0.000 0.000 0.000 4.838 0.000 -2.419 -2.419 3.423" Properties=species:S:1:pos:R:3 pbc="T T T"
Mo 2.419 2.419 0.000
Ca 0.000 0.000 0.000
Ca 2.419 0.000 1.712
Pt 0.000 2.419 1.712
```

Calculated total energy (hartree per atom): -1.13478
ΔH_f (0 K) (eV/atom): 0.222



(6)
A PBEsol-optimized structure of AlIn2Fe, computed with SCAN.

The structure in extended XYZ format:
```
4
Lattice="-3.144 0.241 1.570 0.561 -3.092 1.599 2.352 2.653 4.302" Properties=species:S:1:pos:R:3 pbc="T T T"
Al -1.291 -1.425 1.585
Fe -0.115 -0.099 3.736
In 1.740 1.962 3.183
In 0.612 0.690 1.120
```

Calculated total energy (hartree per atom): -0.84026
ΔH_f (0 K) (eV/atom): 0.299



(7)
A PBEsol-optimized structure of YTaSe, computed with SCAN.

The structure in extended XYZ format:
```
3
Lattice="-2.016 4.034 -1.589 -3.852 1.777 2.205 0.355 4.021 2.563" Properties=species:S:1:pos:R:3 pbc="T T T"
Se 0.000 0.000 0.000
Ta -2.757 4.916 1.589
Y -4.135 7.374 2.384
```

Calculated total energy (hartree per atom): -1.36991
Formation energy without anion corrections (eV/atom): 0.8910



(8)
A PBEsol-optimized structure of CrPtW2, computed with SCAN.

The structure in extended XYZ format:
```
4
Lattice="-1.159 1.316 2.023 -3.152 0.767 -2.305 -2.034 -4.950 1.133" Properties=species:S:1:pos:R:3 pbc="T T T"
Cr -2.156 1.041 -0.141
Pt -3.172 -1.434 0.426
W -1.649 -3.696 1.025
W -1.544 0.061 2.132
```

Calculated total energy (hartree per atom): -2.09393
ΔH_f (0 K) (eV/atom): 0.010